{
  "formula": "Mn2FeS4",
  "functional": "PBE",
  "state": "optimized geometry",
  "sg": "No. 74",
  "raw_formation_energy_ev_per_atom": -0.4778,
  "e_tot_ev_per_atom": -6.67,
  "lattice_angstrom": [[-3.4428, 3.4838, 4.8414], [3.4428, -3.4838, 4.8414], [3.4428, 3.4838, -4.8414]],
  "species": ["Mn", "Mn", "Mn", "Mn", "Fe", "Fe", "S", "S", "S", "S", "S", "S", "S", "S"],
  "frac_coords": [[0.0000, 0.0000, 0.5000], [0.0000, 0.5000, 0.0000], [0.3718, 0.1218, 0.2500], [0.6282, 0.8782, 0.7500], [0.0000, 0.5000, 0.5000], [0.5000, 0.5000, 0.0000], [0.2179, 0.7359, 0.4820], [0.2444, 0.2786, 0.5342], [0.2444, 0.7103, 0.9658], [0.2461, 0.2641, 0.9820], [0.7539, 0.7359, 0.0180], [0.7556, 0.2897, 0.0342], [0.7556, 0.7214, 0.4658], [0.7821, 0.2641, 0.5180]]
}